# PBEsol CdNi2C, relaxed
# * ΔE_f: 1219 meV/atom
# * symmetry: Fm-3m (225)
# * DOS at the Fermi energy: 4.3 states/eV/cell
data_CdNi2C
_space_group_name_H-M_alt 'P 1'
_space_group_IT_number 1
_cell_length_a 4.022
_cell_length_b 4.022
_cell_length_c 4.022
_cell_angle_alpha 60.00
_cell_angle_beta 60.00
_cell_angle_gamma 60.00
loop_
_space_group_symop_operation_xyz
'x,y,z'
loop_
_atom_site_label
_atom_site_fract_x
_atom_site_fract_y
_atom_site_fract_z
Cd1 0.000 0.000 0.000
Ni1 0.250 0.250 0.250
Ni2 0.750 0.750 0.750
C1 0.500 0.500 0.500

---

# PBEsol Cd2CO, relaxed
# * symmetry: I-42d (122)
# * E_form (uncorrected): 615 meV/atom
# * DOS at the Fermi energy: 2.6 states/eV/cell
data_Cd2CO
_space_group_name_H-M_alt 'P 1'
_space_group_IT_number 1
_cell_length_a 5.834
_cell_length_b 5.834
_cell_length_c 5.834
_cell_angle_alpha 124.70
_cell_angle_beta 124.70
_cell_angle_gamma 82.04
loop_
_space_group_symop_operation_xyz
'x,y,z'
loop_
_atom_site_label
_atom_site_fract_x
_atom_site_fract_y
_atom_site_fract_z
Cd1 0.124 0.625 0.999
Cd2 0.375 0.374 0.499
Cd3 0.626 0.125 0.001
Cd4 0.875 0.876 0.501
C1 0.250 0.750 0.500
C2 0.500 0.500 0.000
O1 0.000 0.000 0.000
O2 0.750 0.250 0.500

---

# PBEsol CdC2O4, relaxed
# * symmetry: P2_1/c (14)
# * E_form (uncorrected): -1162 meV/atom
# * DOS at the Fermi energy: 0.0 states/eV/cell
data_CdC2O4
_space_group_name_H-M_alt 'P 1'
_space_group_IT_number 1
_cell_length_a 5.839
_cell_length_b 5.326
_cell_length_c 6.351
_cell_angle_alpha 90.00
_cell_angle_beta 122.71
_cell_angle_gamma 90.00
loop_
_space_group_symop_operation_xyz
'x,y,z'
loop_
_atom_site_label
_atom_site_fract_x
_atom_site_fract_y
_atom_site_fract_z
Cd1 0.000 0.000 0.000
Cd2 0.000 0.500 0.500
C1 0.454 0.117 0.913
C2 0.454 0.383 0.413
C3 0.546 0.617 0.587
C4 0.546 0.883 0.087
O1 0.209 0.191 0.818
O2 0.209 0.309 0.318
O3 0.377 0.721 0.623
O4 0.377 0.779 0.123
O5 0.623 0.221 0.877
O6 0.623 0.279 0.377
O7 0.791 0.691 0.682
O8 0.791 0.809 0.182

---

# PBEsol CdCO2, relaxed
# * symmetry: R-3m (166)
# * E_form (uncorrected): -710 meV/atom
# * DOS at the Fermi energy: 0.8 states/eV/cell
data_CdCO2
_space_group_name_H-M_alt 'P 1'
_space_group_IT_number 1
_cell_length_a 9.228
_cell_length_b 9.228
_cell_length_c 9.228
_cell_angle_alpha 19.06
_cell_angle_beta 19.06
_cell_angle_gamma 19.06
loop_
_space_group_symop_operation_xyz
'x,y,z'
loop_
_atom_site_label
_atom_site_fract_x
_atom_site_fract_y
_atom_site_fract_z
Cd1 0.000 0.000 0.000
C1 0.500 0.500 0.500
O1 0.457 0.457 0.457
O2 0.543 0.543 0.543

---

# PBEsol Cd3CO, relaxed
# * symmetry: Pm-3m (221)
# * E_form (uncorrected): 523 meV/atom
data_Cd3CO
_space_group_name_H-M_alt 'P 1'
_space_group_IT_number 1
_cell_length_a 4.332
_cell_length_b 4.332
_cell_length_c 4.332
_cell_angle_alpha 90.00
_cell_angle_beta 90.00
_cell_angle_gamma 90.00
loop_
_space_group_symop_operation_xyz
'x,y,z'
loop_
_atom_site_label
_atom_site_fract_x
_atom_site_fract_y
_atom_site_fract_z
Cd1 0.000 0.000 0.500
Cd2 0.000 0.500 0.000
Cd3 0.500 0.000 0.000
C1 0.000 0.000 0.000
O1 0.500 0.500 0.500

---

# PBEsol CdCO3, relaxed
# * symmetry: R-3c (167)
# * E_form (uncorrected): -1349 meV/atom
# * DOS at the Fermi energy: 0.0 states/eV/cell
data_CdCO3
_space_group_name_H-M_alt 'P 1'
_space_group_IT_number 1
_cell_length_a 6.100
_cell_length_b 6.100
_cell_length_c 6.100
_cell_angle_alpha 47.98
_cell_angle_beta 47.98
_cell_angle_gamma 47.98
loop_
_space_group_symop_operation_xyz
'x,y,z'
loop_
_atom_site_label
_atom_site_fract_x
_atom_site_fract_y
_atom_site_fract_z
Cd1 0.000 0.000 0.000
Cd2 0.500 0.500 0.500
C1 0.250 0.250 0.250
C2 0.750 0.750 0.750
O1 0.011 0.750 0.489
O2 0.250 0.511 0.989
O3 0.489 0.011 0.750
O4 0.511 0.989 0.250
O5 0.750 0.489 0.011
O6 0.989 0.250 0.511

---

# PBEsol CdSiOs2C, relaxed
# * symmetry: P4/mmm (123)
# * E_form (uncorrected): 1610 meV/atom
# * DOS at the Fermi energy: 4.8 states/eV/cell
data_CdSiOs2C
_space_group_name_H-M_alt 'P 1'
_space_group_IT_number 1
_cell_length_a 4.598
_cell_length_b 4.598
_cell_length_c 3.556
_cell_angle_alpha 90.00
_cell_angle_beta 90.00
_cell_angle_gamma 90.00
loop_
_space_group_symop_operation_xyz
'x,y,z'
loop_
_atom_site_label
_atom_site_fract_x
_atom_site_fract_y
_atom_site_fract_z
Cd1 0.000 0.000 0.000
Si1 0.500 0.500 0.500
Os1 0.000 0.500 0.500
Os2 0.500 0.000 0.500
C1 0.500 0.500 0.000

---

# PBEsol Cd3PC, relaxed
# * ΔE_f: 1614 meV/atom
# * symmetry: Pm-3m (221)
# * DOS at the Fermi energy: 2.6 states/eV/cell
data_Cd3PC
_space_group_name_H-M_alt 'P 1'
_space_group_IT_number 1
_cell_length_a 4.951
_cell_length_b 4.951
_cell_length_c 4.951
_cell_angle_alpha 90.00
_cell_angle_beta 90.00
_cell_angle_gamma 90.00
loop_
_space_group_symop_operation_xyz
'x,y,z'
loop_
_atom_site_label
_atom_site_fract_x
_atom_site_fract_y
_atom_site_fract_z
Cd1 0.000 0.000 0.500
Cd2 0.000 0.500 0.000
Cd3 0.500 0.000 0.000
P1 0.000 0.000 0.000
C1 0.500 0.500 0.500

---

# PBEsol Cd2PC, relaxed
# * ΔE_f: 1233 meV/atom
# * symmetry: I-42d (122)
# * DOS at the Fermi energy: 6.4 states/eV/cell
data_Cd2PC
_space_group_name_H-M_alt 'P 1'
_space_group_IT_number 1
_cell_length_a 6.479
_cell_length_b 6.479
_cell_length_c 6.479
_cell_angle_alpha 128.98
_cell_angle_beta 128.98
_cell_angle_gamma 75.04
loop_
_space_group_symop_operation_xyz
'x,y,z'
loop_
_atom_site_label
_atom_site_fract_x
_atom_site_fract_y
_atom_site_fract_z
Cd1 0.069 0.125 0.444
Cd2 0.375 0.931 0.056
Cd3 0.681 0.625 0.556
Cd4 0.875 0.319 0.944
P1 0.250 0.750 0.500
P2 0.500 0.500 0.000
C1 0.000 0.000 0.000
C2 0.750 0.250 0.500

---

# PBEsol CdPC3, relaxed
# * ΔE_f: 3638 meV/atom
# * symmetry: Pm-3m (221)
# * DOS at the Fermi energy: 3.8 states/eV/cell
data_CdPC3
_space_group_name_H-M_alt 'P 1'
_space_group_IT_number 1
_cell_length_a 4.199
_cell_length_b 4.199
_cell_length_c 4.199
_cell_angle_alpha 90.00
_cell_angle_beta 90.00
_cell_angle_gamma 90.00
loop_
_space_group_symop_operation_xyz
'x,y,z'
loop_
_atom_site_label
_atom_site_fract_x
_atom_site_fract_y
_atom_site_fract_z
Cd1 0.000 0.000 0.000
P1 0.500 0.500 0.500
C1 0.000 0.000 0.500
C2 0.000 0.500 0.000
C3 0.500 0.000 0.000

---

# PBEsol ScCd2PC, relaxed
# * ΔE_f: 1856 meV/atom
# * symmetry: P4/mmm (123)
# * DOS at the Fermi energy: 5.5 states/eV/cell
data_ScCd2PC
_space_group_name_H-M_alt 'P 1'
_space_group_IT_number 1
_cell_length_a 5.659
_cell_length_b 5.659
_cell_length_c 4.772
_cell_angle_alpha 90.00
_cell_angle_beta 90.00
_cell_angle_gamma 90.00
loop_
_space_group_symop_operation_xyz
'x,y,z'
loop_
_atom_site_label
_atom_site_fract_x
_atom_site_fract_y
_atom_site_fract_z
Sc1 0.000 0.000 0.000
Cd1 0.000 0.500 0.000
Cd2 0.500 0.000 0.000
P1 0.000 0.000 0.500
C1 0.500 0.500 0.500

---

# PBEsol RbCdRu2C, relaxed
# * ΔE_f: 3194 meV/atom
# * symmetry: P4/mmm (123)
# * DOS at the Fermi energy: 7.5 states/eV/cell
data_RbCdRu2C
_space_group_name_H-M_alt 'P 1'
_space_group_IT_number 1
_cell_length_a 4.982
_cell_length_b 4.982
_cell_length_c 6.667
_cell_angle_alpha 90.00
_cell_angle_beta 90.00
_cell_angle_gamma 90.00
loop_
_space_group_symop_operation_xyz
'x,y,z'
loop_
_atom_site_label
_atom_site_fract_x
_atom_site_fract_y
_atom_site_fract_z
Rb1 0.000 0.000 0.000
Cd1 0.000 0.000 0.500
Ru1 0.000 0.500 0.500
Ru2 0.500 0.000 0.500
C1 0.500 0.500 0.000

---

# PBEsol CdReC2, relaxed
# * ΔE_f: 897 meV/atom
# * symmetry: I-42d (122)
# * DOS at the Fermi energy: 4.5 states/eV/cell
data_CdReC2
_space_group_name_H-M_alt 'P 1'
_space_group_IT_number 1
_cell_length_a 5.871
_cell_length_b 5.871
_cell_length_c 5.871
_cell_angle_alpha 130.10
_cell_angle_beta 130.10
_cell_angle_gamma 73.25
loop_
_space_group_symop_operation_xyz
'x,y,z'
loop_
_atom_site_label
_atom_site_fract_x
_atom_site_fract_y
_atom_site_fract_z
Cd1 0.000 0.000 0.000
Cd2 0.750 0.250 0.500
Re1 0.250 0.750 0.500
Re2 0.500 0.500 0.000
C1 0.193 0.625 0.068
C2 0.375 0.443 0.568
C3 0.557 0.125 0.932
C4 0.875 0.807 0.432

---

# PBEsol CdCS3, relaxed
# * symmetry: Pm-3m (221)
# * E_form (uncorrected): 2193 meV/atom
# * DOS at the Fermi energy: 6.2 states/eV/cell
data_CdCS3
_space_group_name_H-M_alt 'P 1'
_space_group_IT_number 1
_cell_length_a 4.881
_cell_length_b 4.881
_cell_length_c 4.881
_cell_angle_alpha 90.00
_cell_angle_beta 90.00
_cell_angle_gamma 90.00
loop_
_space_group_symop_operation_xyz
'x,y,z'
loop_
_atom_site_label
_atom_site_fract_x
_atom_site_fract_y
_atom_site_fract_z
Cd1 0.000 0.000 0.000
C1 0.500 0.500 0.500
S1 0.000 0.000 0.500
S2 0.000 0.500 0.000
S3 0.500 0.000 0.000

---

# PBEsol CdC2Se, relaxed
# * symmetry: Fm-3m (225)
# * E_form (uncorrected): 2405 meV/atom
# * DOS at the Fermi energy: 2.3 states/eV/cell
data_CdC2Se
_space_group_name_H-M_alt 'P 1'
_space_group_IT_number 1
_cell_length_a 4.174
_cell_length_b 4.174
_cell_length_c 4.174
_cell_angle_alpha 60.00
_cell_angle_beta 60.00
_cell_angle_gamma 60.00
loop_
_space_group_symop_operation_xyz
'x,y,z'
loop_
_atom_site_label
_atom_site_fract_x
_atom_site_fract_y
_atom_site_fract_z
Cd1 0.000 0.000 0.000
C1 0.250 0.250 0.250
C2 0.750 0.750 0.750
Se1 0.500 0.500 0.500

---

# PBEsol Cd2CSe2, relaxed
# * symmetry: I4/mmm (139)
# * E_form (uncorrected): 1217 meV/atom
# * DOS at the Fermi energy: 4.9 states/eV/cell
data_Cd2CSe2
_space_group_name_H-M_alt 'P 1'
_space_group_IT_number 1
_cell_length_a 6.965
_cell_length_b 6.965
_cell_length_c 6.965
_cell_angle_alpha 143.13
_cell_angle_beta 143.13
_cell_angle_gamma 53.14
loop_
_space_group_symop_operation_xyz
'x,y,z'
loop_
_atom_site_label
_atom_site_fract_x
_atom_site_fract_y
_atom_site_fract_z
Cd1 0.250 0.750 0.500
Cd2 0.750 0.250 0.500
C1 0.000 0.000 0.000
Se1 0.376 0.376 0.000
Se2 0.624 0.624 0.000

---

# PBEsol CdTe2CSe, relaxed
# * symmetry: P4/mmm (123)
# * E_form (uncorrected): 832 meV/atom
# * DOS at the Fermi energy: 2.2 states/eV/cell
data_CdTe2CSe
_space_group_name_H-M_alt 'P 1'
_space_group_IT_number 1
_cell_length_a 4.802
_cell_length_b 4.802
_cell_length_c 4.434
_cell_angle_alpha 90.00
_cell_angle_beta 90.00
_cell_angle_gamma 90.00
loop_
_space_group_symop_operation_xyz
'x,y,z'
loop_
_atom_site_label
_atom_site_fract_x
_atom_site_fract_y
_atom_site_fract_z
Cd1 0.000 0.000 0.000
Te1 0.000 0.500 0.500
Te2 0.500 0.000 0.500
C1 0.500 0.500 0.500
Se1 0.500 0.500 0.000

---

# PBEsol CdSn3C, relaxed
# * ΔE_f: 771 meV/atom
# * symmetry: Pm-3m (221)
# * DOS at the Fermi energy: 3.8 states/eV/cell
data_CdSn3C
_space_group_name_H-M_alt 'P 1'
_space_group_IT_number 1
_cell_length_a 4.774
_cell_length_b 4.774
_cell_length_c 4.774
_cell_angle_alpha 90.00
_cell_angle_beta 90.00
_cell_angle_gamma 90.00
loop_
_space_group_symop_operation_xyz
'x,y,z'
loop_
_atom_site_label
_atom_site_fract_x
_atom_site_fract_y
_atom_site_fract_z
Cd1 0.000 0.000 0.000
Sn1 0.000 0.500 0.500
Sn2 0.500 0.000 0.500
Sn3 0.500 0.500 0.000
C1 0.500 0.500 0.500

---

# PBEsol SrCdTeC2, relaxed
# * symmetry: P4/mmm (123)
# * E_form (uncorrected): 1900 meV/atom
# * DOS at the Fermi energy: 2.7 states/eV/cell
data_SrCdTeC2
_space_group_name_H-M_alt 'P 1'
_space_group_IT_number 1
_cell_length_a 4.425
_cell_length_b 4.425
_cell_length_c 6.016
_cell_angle_alpha 90.00
_cell_angle_beta 90.00
_cell_angle_gamma 90.00
loop_
_space_group_symop_operation_xyz
'x,y,z'
loop_
_atom_site_label
_atom_site_fract_x
_atom_site_fract_y
_atom_site_fract_z
Sr1 0.000 0.000 0.000
Cd1 0.500 0.500 0.000
Te1 0.000 0.000 0.500
C1 0.000 0.500 0.500
C2 0.500 0.000 0.500

---

# PBEsol Cd3TeC, relaxed
# * symmetry: Pm-3m (221)
# * E_form (uncorrected): 502 meV/atom
# * DOS at the Fermi energy: 1.2 states/eV/cell
data_Cd3TeC
_space_group_name_H-M_alt 'P 1'
_space_group_IT_number 1
_cell_length_a 4.649
_cell_length_b 4.649
_cell_length_c 4.649
_cell_angle_alpha 90.00
_cell_angle_beta 90.00
_cell_angle_gamma 90.00
loop_
_space_group_symop_operation_xyz
'x,y,z'
loop_
_atom_site_label
_atom_site_fract_x
_atom_site_fract_y
_atom_site_fract_z
Cd1 0.000 0.000 0.500
Cd2 0.000 0.500 0.000
Cd3 0.500 0.000 0.000
Te1 0.500 0.500 0.500
C1 0.000 0.000 0.000